No. 1
The following is a DFT calculation (PBE) of crystalline NdNi2 at its relaxed geometry.

Cell and atoms, written as POSCAR:
```
NdNi2
1.0
0.000 3.659 3.659
3.659 0.000 3.659
3.659 3.659 0.000
Nd Ni
2 4
Direct
0.125 0.125 0.125
0.875 0.875 0.875
0.000 0.500 0.500
0.500 0.000 0.500
0.500 0.500 0.000
0.500 0.500 0.500
```

## Properties
formation enthalpy at 0 K = -0.31 eV/atom

=====

No. 2
The following is a DFT calculation (PBE) of crystalline NdNi5 at its relaxed geometry.

Cell and atoms, written as POSCAR:
```
NdNi5
1.0
4.963 0.000 0.000
-2.481 4.298 0.000
0.000 0.000 3.965
Nd Ni
1 5
Direct
0.000 0.000 0.000
0.000 0.500 0.500
0.333 0.667 0.000
0.500 0.000 0.500
0.500 0.500 0.500
0.667 0.333 0.000
```

## Properties
formation enthalpy at 0 K = -0.27 eV/atom

=====

No. 3
The following is a DFT calculation (PBE) of crystalline Nd5Ni6 at its relaxed geometry.

Cell and atoms, written as POSCAR:
```
Nd5Ni6
1.0
2.088 -14.195 0.000
2.088 14.195 0.000
0.000 0.000 3.917
Nd Ni
5 6
Direct
0.000 0.000 0.000
0.197 0.803 0.500
0.387 0.613 0.000
0.613 0.387 0.000
0.803 0.197 0.500
0.087 0.913 0.500
0.276 0.724 0.000
0.459 0.541 0.500
0.541 0.459 0.500
0.724 0.276 0.000
0.913 0.087 0.500
```

## Properties
formation enthalpy at 0 K = -0.32 eV/atom

=====

- Which value of formation enthalpy at 0 K does entry 1 give?
  -0.31 eV/atom